Entry from the Alexandria database: crystalline Ca3Ni3Ge8 at its relaxed geometry (PBE-GGA).

abc: 16.7202 4.1588 8.4484
angles: 90.00 115.10 90.00
Space group C2/m (No. 12)
Symmetry-distinct sites (fractional):
Ca  0.0000  0.0000  0.0000 x2
Ca  0.2266  0.5000  0.6862 x4
Ni  0.0000  0.0000  0.5000 x2
Ni  0.1508  0.5000  0.9945 x4
Ge  0.0276  0.5000  0.6995 x4
Ge  0.1178  0.0000  0.4217 x4
Ge  0.1258  0.5000  0.2478 x4
Ge  0.1824  0.0000  0.9025 x4

Electronic total energy, eV per atom: -4.675
Energy relative to the elements, eV/atom: -0.368
Spin magnetization, μB/cell: 0.00